Entry 1:
# Nd2Sm3Y2 PBE-GGA relaxed
# ΔE to the lowest computed polymorph   89 meV per atom
# Calculated formation energy   0.10 eV/atom
# Density of states at the Fermi level   1.480 states/eV per atom
data_Nd2Sm3Y2
_chemical_formula_sum 'Nd4 Sm6 Y4'
_cell_length_a 17.680
_cell_length_b 3.539
_cell_length_c 8.775
_cell_angle_alpha 90.00
_cell_angle_beta 119.22
_cell_angle_gamma 90.00
_space_group_name_H-M_alt 'C 1 2/m 1'
_space_group_IT_number 12
loop_
_space_group_symop_operation_xyz
'x,y,z'
'-x,-y,-z'
'-x,y,-z'
'x,-y,z'
'x+1/2,y+1/2,z'
'-x+1/2,-y+1/2,-z'
'-x+1/2,y+1/2,-z'
'x+1/2,-y+1/2,z'
loop_
_atom_site_label
_atom_site_type_symbol
_atom_site_fract_x
_atom_site_fract_y
_atom_site_fract_z
Nd1 Nd 0.146 0.000 0.325
Sm1 Sm 0.000 0.000 0.500
Sm2 Sm 0.213 0.000 0.805
Y1 Y 0.065 0.500 0.905


Entry 2:
# CaB2 PBE-GGA relaxed
# Calculated formation energy   -0.14 eV/atom
# Density of states at the Fermi level   0.250 states/eV per atom
data_CaB2
_chemical_formula_sum 'Ca1 B2'
_cell_length_a 3.2203
_cell_length_b 3.2203
_cell_length_c 4.0824
_cell_angle_alpha 90.00
_cell_angle_beta 90.00
_cell_angle_gamma 120.00
_space_group_name_H-M_alt 'P 6/m m m'
_space_group_IT_number 191
_space_group_name_Hall '-P 6 2'
loop_
_atom_site_label
_atom_site_type_symbol
_atom_site_fract_x
_atom_site_fract_y
_atom_site_fract_z
Ca1 Ca 0.0000 0.0000 0.0000
B1 B 0.3333 0.6667 0.5000


Entry 3:
# Er2SiRh3 PBE-GGA relaxed
# Energy   -7.1017 eV per atom
# Density of states at the Fermi level   0.541 states/eV per atom
data_Er2SiRh3
_chemical_formula_sum 'Er6 Si3 Rh9'
_cell_length_a 5.5602
_cell_length_b 5.5602
_cell_length_c 11.5828
_cell_angle_alpha 90.00
_cell_angle_beta 90.00
_cell_angle_gamma 120.00
_space_group_name_H-M_alt 'R -3 m'
_space_group_IT_number 166
_space_group_name_Hall '-R 3 2"'
loop_
_atom_site_label
_atom_site_type_symbol
_atom_site_fract_x
_atom_site_fract_y
_atom_site_fract_z
Er1 Er 0.0000 0.0000 0.1296
Si1 Si 0.0000 0.0000 0.5000
Rh1 Rh 0.0000 0.5000 0.0000


Entry 4:
# PmY2Tm5Sc PBE-GGA relaxed
# Calculated formation energy   0.17 eV/atom
# Density of states at the Fermi level   1.596 states/eV per atom
data_PmY2Tm5Sc
_chemical_formula_sum 'Pm4 Y8 Tm20 Sc4'
_cell_length_a 5.533
_cell_length_b 19.486
_cell_length_c 10.338
_cell_angle_alpha 90.00
_cell_angle_beta 90.00
_cell_angle_gamma 90.00
_space_group_name_H-M_alt 'C m c 21'
_space_group_IT_number 36
loop_
_space_group_symop_operation_xyz
'x,y,z'
'-x,-y,z+1/2'
'-x,y,z'
'x,-y,z+1/2'
'x+1/2,y+1/2,z'
'-x+1/2,-y+1/2,z+1/2'
'-x+1/2,y+1/2,z'
'x+1/2,-y+1/2,z+1/2'
loop_
_atom_site_label
_atom_site_type_symbol
_atom_site_fract_x
_atom_site_fract_y
_atom_site_fract_z
Pm1 Pm 0.000 0.086 0.000
Y1 Y 0.000 0.387 0.278
Y2 Y 0.000 0.389 0.861
Tm1 Tm 0.000 0.019 0.283
Tm2 Tm 0.000 0.121 0.565
Tm3 Tm 0.000 0.202 0.250
Tm4 Tm 0.000 0.222 0.865
Tm5 Tm 0.000 0.480 0.567
Sc1 Sc 0.000 0.302 0.559